Density functional theory data (PBE-GGA) for a relaxed CeUN2F crystal.

Properties
The calculation puts the raw total energy at -9.2249 eV per atom. Its density of states at the Fermi level is 14.50 states/eV per cell. Its density is 10.2 g/cm³. As for the formation energy without anion corrections: -200.3 kJ per mole of atoms.

POSCAR file:
```
CeUN2F
1.0
3.4928 0.0000 0.0000
0.0000 3.4928 0.0000
0.0000 0.0000 11.3673
Ce U N F
2 2 4 2
Cartesian
0.8732 0.8732 1.7681
2.6196 2.6196 9.5992
0.8732 0.8732 6.8924
2.6196 2.6196 4.4749
0.8732 0.8732 4.4279
0.8732 0.8732 8.9478
2.6196 2.6196 2.4196
2.6196 2.6196 6.9394
0.8732 2.6196 0.0000
2.6196 0.8732 0.0000
```